No. 1
A plane-wave DFT calculation with PBE-GGA was carried out for a relaxed structure of SrPS.

abc: 3.9533 4.4359 10.9026
angles: 90.00 90.00 116.46
Each line ends with the local moment (μB).
Fractional coordinates of all 6 atoms:
P: 0.5729 0.1458 0.0000  0.06
P: 0.4300 0.8601 0.5000  0.01
S: 0.5694 0.1389 0.3409  0.00
S: 0.5694 0.1389 0.6591  0.00
Sr: 0.2624 0.5248 0.8270  0.00
Sr: 0.2624 0.5248 0.1730  0.00

Computed properties:
The calculation puts the volume at 28.53 Å³/atom. For the uncorrected formation energy, the calculation gives -2.3 eV per formula unit.


No. 2
A plane-wave DFT calculation with PBE-GGA was carried out for a relaxed structure of Sr2PS4.

abc: 6.4569 6.4996 8.5950
angles: 90.00 109.78 90.00
Fractional coordinates of all 14 atoms:
Sr: 0.7383 0.7500 0.0614
Sr: 0.2617 0.2500 0.9386
Sr: 0.2280 0.2500 0.4337
Sr: 0.7720 0.7500 0.5663
P: 0.2659 0.7500 0.1949
P: 0.7341 0.2500 0.8051
S: 0.4840 0.5017 0.2529
S: 0.1340 0.7500 0.9124
S: 0.8660 0.2500 0.0876
S: 0.4840 0.9983 0.2529
S: 0.8818 0.2500 0.5998
S: 0.5160 0.0017 0.7471
S: 0.5160 0.4983 0.7471
S: 0.1182 0.7500 0.4002

Computed properties:
The calculation puts the volume at 24.25 Å³/atom. For the uncorrected formation energy, the calculation gives -8.5 eV per formula unit.


No. 3
A plane-wave DFT calculation with PBE-GGA was carried out for a relaxed structure of SrPS3.

abc: 5.5275 5.5275 5.5275
angles: 90.00 90.00 90.00
Each line ends with the local moment (μB).
Fractional coordinates of all 5 atoms:
Sr: 0.0000 0.0000 0.0000  0.00
S: 0.0000 0.5000 0.0000  0.57
S: 0.0000 0.0000 0.5000  0.58
S: 0.5000 0.0000 0.0000  0.44
P: 0.5000 0.5000 0.5000  0.15

Computed properties:
The calculation puts the volume at 33.78 Å³/atom. For the uncorrected formation energy, the calculation gives 4.9 eV per formula unit.


No. 4
A plane-wave DFT calculation with PBE-GGA was carried out for a relaxed structure of SrP3S.

abc: 5.5497 5.5497 5.5497
angles: 90.00 90.00 90.00
Each line ends with the local moment (μB).
Fractional coordinates of all 5 atoms:
Sr: 0.0000 0.0000 0.0000  0.03
S: 0.5000 0.5000 0.5000  0.96
P: 0.0000 0.5000 0.0000  0.15
P: 0.0000 0.0000 0.5000  0.16
P: 0.5000 0.0000 0.0000  0.16

Computed properties:
The calculation puts the volume at 34.19 Å³/atom. For the uncorrected formation energy, the calculation gives 8.7 eV per formula unit.


No. 5
A plane-wave DFT calculation with PBE-GGA was carried out for a relaxed structure of SrPS3.

abc: 4.6723 4.6723 4.6723
angles: 90.00 90.00 90.00
Fractional coordinates of all 5 atoms:
Sr: 0.5000 0.5000 0.5000
S: 0.0000 0.5000 0.0000
S: 0.0000 0.0000 0.5000
S: 0.5000 0.0000 0.0000
P: 0.0000 0.0000 0.0000

Computed properties:
The calculation puts the volume at 20.40 Å³/atom. For the uncorrected formation energy, the calculation gives -3.3 eV per formula unit.


No. 6
A plane-wave DFT calculation with PBE-GGA was carried out for a relaxed structure of SrPS2.

abc: 8.0431 8.0431 8.0431
angles: 31.42 31.42 31.42
Fractional coordinates of all 4 atoms:
Sr: 0.5000 0.5000 0.5000
S: 0.9031 0.9031 0.9031
S: 0.0969 0.0969 0.0969
P: 0.0000 0.0000 0.0000

Computed properties:
The calculation puts the volume at 31.38 Å³/atom. For the uncorrected formation energy, the calculation gives -1.9 eV per formula unit.


No. 7
A plane-wave DFT calculation with PBE-GGA was carried out for a relaxed structure of Sr6PS4.

abc: 4.2888 7.3425 21.6616
angles: 90.00 90.00 106.98
Each line ends with the local moment (μB).
Fractional coordinates of all 22 atoms:
Sr: 0.5000 0.0000 0.0000  0.01
Sr: 0.5000 0.0000 0.5000  0.01
Sr: 0.0469 0.0938 0.3324  0.05
Sr: 0.9531 0.9062 0.6676  0.05
Sr: 0.9531 0.9062 0.8324  0.05
Sr: 0.0469 0.0938 0.1676  0.05
Sr: 0.7746 0.5493 0.4156  0.01
Sr: 0.2254 0.4507 0.5844  0.01
Sr: 0.2254 0.4507 0.9156  0.01
Sr: 0.7746 0.5493 0.0844  0.01
Sr: 0.3150 0.6301 0.2500  0.07
Sr: 0.6850 0.3699 0.7500  0.07
P: 0.6571 0.3141 0.2500  0.00
P: 0.3429 0.6859 0.7500  0.00
S: 0.8622 0.7245 0.5433  0.00
S: 0.4072 0.8145 0.1243  0.01
S: 0.1378 0.2755 0.4567  0.00
S: 0.5928 0.1855 0.8757  0.01
S: 0.8622 0.7245 0.9567  0.00
S: 0.1378 0.2755 0.0433  0.00
S: 0.5928 0.1855 0.6243  0.01
S: 0.4072 0.8145 0.3757  0.01

Computed properties:
The calculation puts the volume at 29.65 Å³/atom. For the uncorrected formation energy, the calculation gives -19.3 eV per formula unit.


No. 8
A plane-wave DFT calculation with PBE-GGA was carried out for a relaxed structure of Sr2P2S.

abc: 7.8065 7.8065 4.0984
angles: 90.00 90.00 90.00
Fractional coordinates of all 10 atoms:
Sr: 0.1969 0.6969 0.5000
Sr: 0.6969 0.8031 0.5000
Sr: 0.8031 0.3031 0.5000
Sr: 0.3031 0.1969 0.5000
S: 0.0000 0.0000 0.0000
S: 0.5000 0.5000 0.0000
P: 0.4052 0.9052 0.0000
P: 0.9052 0.5948 0.0000
P: 0.5948 0.0948 0.0000
P: 0.0948 0.4052 0.0000

Computed properties:
The calculation puts the volume at 24.98 Å³/atom. For the uncorrected formation energy, the calculation gives -4.8 eV per formula unit.


| no. | N(E_F) (states/eV/cell) |
| --- | --- |
| 1 | 3.37 |
| 2 | 4.51 |
| 3 | 6.70 |
| 4 | 7.29 |
| 5 | 3.21 |
| 6 | 3.11 |
| 7 | 3.92 |
| 8 | 3.58 |